Entry 1:
The following is a PBE calculation of Ag2Te9Pd14 after structural relaxation, from OQMD.

Calculated values
Calculated total energy (eV/atom): -4.5766
Symmetry: I4/m

a = 8.7447 Å, b = 8.7447 Å, c = 8.7447 Å
α = 117.72°, β = 117.72°, γ = 93.99°
With the nearest neighbours (Å) after each atom.
Sites, in units of the cell vectors:
Ag1 0.1890 0.1890 0.0000  8 Pd 2.96-3.03, 4 Te 3.07
Ag2 0.8110 0.8110 0.0000  8 Pd 2.96-3.03, 4 Te 3.07
Te1 0.0216 0.8374 0.5636  6 Pd 2.71-2.82
Te2 0.1626 0.7262 0.1842  6 Pd 2.71-2.82
Te3 0.2738 0.4580 0.4364  6 Pd 2.71-2.82
Te4 0.4580 0.0216 0.1842  6 Pd 2.71-2.82
Te5 0.5000 0.5000 0.0000  8 Pd 2.69
Te6 0.5420 0.9784 0.8158  6 Pd 2.71-2.82
Te7 0.7262 0.5420 0.5636  6 Pd 2.71-2.82
Te8 0.8374 0.2738 0.8158  6 Pd 2.71-2.82
Te9 0.9784 0.1626 0.4364  6 Pd 2.71-2.82
Pd1 0.0000 0.5000 0.5000  4 Te 2.71, 2 Pd 2.81
Pd2 0.0937 0.7959 0.8896  4 Te 2.73-2.82, 3 Pd 2.81-2.87, 2 Ag 3.03
Pd3 0.1387 0.4346 0.8497  4 Te 2.69-2.74, 1 Ag 2.96, 2 Pd 3.00
Pd4 0.2041 0.0937 0.2977  4 Te 2.73-2.82, 3 Pd 2.81-2.87, 2 Ag 3.03
Pd5 0.2889 0.1387 0.7040  4 Te 2.69-2.74, 1 Ag 2.96, 2 Pd 3.00
Pd6 0.4151 0.7111 0.8497  4 Te 2.69-2.74, 1 Ag 2.96, 2 Pd 3.00
Pd7 0.4346 0.5849 0.2960  4 Te 2.69-2.74, 1 Ag 2.96, 2 Pd 3.00
Pd8 0.5000 0.0000 0.5000  4 Te 2.71, 2 Pd 2.81
Pd9 0.5654 0.4151 0.7040  4 Te 2.69-2.74, 1 Ag 2.96, 2 Pd 3.00
Pd10 0.5849 0.2889 0.1503  4 Te 2.69-2.74, 1 Ag 2.96, 2 Pd 3.00
Pd11 0.7111 0.8613 0.2960  4 Te 2.69-2.74, 1 Ag 2.96, 2 Pd 3.00
Pd12 0.7959 0.9063 0.7023  4 Te 2.73-2.82, 3 Pd 2.81-2.87, 2 Ag 3.03
Pd13 0.8613 0.5654 0.1503  4 Te 2.69-2.74, 1 Ag 2.96, 2 Pd 3.00
Pd14 0.9063 0.2041 0.1104  4 Te 2.73-2.82, 3 Pd 2.81-2.87, 2 Ag 3.03

***

Entry 2:
The following is a PBE calculation of PmGdTm after structural relaxation, from OQMD.

Calculated values
Size of the total moment (μB per atom): 0.00
Energy above the lowest structure with this stoichiometry (eV per atom): 0.000
Calculated total energy (eV/atom): -3.9229
Symmetry: F-43m

a = 7.6762 Å, b = 7.6762 Å, c = 7.6762 Å
α = 90.00°, β = 90.00°, γ = 90.00°
With the nearest neighbours (Å) after each atom.
Sites, in units of the cell vectors:
Pm1 0.0000 0.0000 0.0000  4 Tm 3.32
Pm2 0.0000 0.5000 0.5000  4 Tm 3.32
Pm3 0.5000 0.0000 0.5000  4 Tm 3.32
Pm4 0.5000 0.5000 0.0000  4 Tm 3.32
Gd1 0.0000 0.0000 0.5000  4 Tm 3.32
Gd2 0.0000 0.5000 0.0000  4 Tm 3.32
Gd3 0.5000 0.0000 0.0000  4 Tm 3.32
Gd4 0.5000 0.5000 0.5000  4 Tm 3.32
Tm1 0.2500 0.2500 0.7500  4 Gd 3.32, 4 Pm 3.32
Tm2 0.2500 0.7500 0.2500  4 Gd 3.32, 4 Pm 3.32
Tm3 0.7500 0.2500 0.2500  4 Gd 3.32, 4 Pm 3.32
Tm4 0.7500 0.7500 0.7500  4 Gd 3.32, 4 Pm 3.32

***

Entry 3:
The following is a PBE calculation of AlCuS2 after structural relaxation, from OQMD.

Calculated values
Calculated total energy (eV/atom): -4.7451
Symmetry: I-42d

a = 5.3241 Å, b = 5.3241 Å, c = 10.5204 Å
α = 90.00°, β = 90.00°, γ = 90.00°
With the nearest neighbours (Å) after each atom.
Sites, in units of the cell vectors:
Al1 0.0000 0.0000 0.0000  4 S 2.27
Al2 0.0000 0.5000 0.2500  4 S 2.27
Al3 0.5000 0.0000 0.7500  4 S 2.27
Al4 0.5000 0.5000 0.5000  4 S 2.27
Cu1 0.0000 0.0000 0.5000  4 S 2.32
Cu2 0.0000 0.5000 0.7500  4 S 2.32
Cu3 0.5000 0.0000 0.2500  4 S 2.32
Cu4 0.5000 0.5000 0.0000  4 S 2.32
S1 0.2429 0.7500 0.1250  2 Al 2.27, 2 Cu 2.32
S2 0.2500 0.2429 0.8750  2 Al 2.27, 2 Cu 2.32
S3 0.2500 0.2571 0.3750  2 Al 2.27, 2 Cu 2.32
S4 0.2571 0.7500 0.6250  2 Al 2.27, 2 Cu 2.32
S5 0.7429 0.2500 0.6250  2 Al 2.27, 2 Cu 2.32
S6 0.7500 0.7429 0.3750  2 Al 2.27, 2 Cu 2.32
S7 0.7500 0.7571 0.8750  2 Al 2.27, 2 Cu 2.32
S8 0.7571 0.2500 0.1250  2 Al 2.27, 2 Cu 2.32

***

Entry 4:
The following is a PBE calculation of ScTlCuPt after structural relaxation, from OQMD.

Calculated values
Size of the total moment (μB per atom): 0.00
Energy above the lowest structure with this stoichiometry (eV per atom): 0.075
Calculated total energy (eV/atom): -4.9675
Symmetry: F-43m

a = 6.5895 Å, b = 6.5895 Å, c = 6.5895 Å
α = 90.00°, β = 90.00°, γ = 90.00°
With the nearest neighbours (Å) after each atom.
Sites, in units of the cell vectors:
Sc1 0.0000 0.0000 0.0000  4 Tl 2.85, 4 Pt 2.85
Sc2 0.0000 0.5000 0.5000  4 Tl 2.85, 4 Pt 2.85
Sc3 0.5000 0.0000 0.5000  4 Tl 2.85, 4 Pt 2.85
Sc4 0.5000 0.5000 0.0000  4 Tl 2.85, 4 Pt 2.85
Tl1 0.2500 0.2500 0.2500  4 Cu 2.85, 4 Sc 2.85
Tl2 0.2500 0.7500 0.7500  4 Cu 2.85, 4 Sc 2.85
Tl3 0.7500 0.2500 0.7500  4 Cu 2.85, 4 Sc 2.85
Tl4 0.7500 0.7500 0.2500  4 Cu 2.85, 4 Sc 2.85
Cu1 0.0000 0.0000 0.5000  4 Pt 2.85, 4 Tl 2.85
Cu2 0.0000 0.5000 0.0000  4 Pt 2.85, 4 Tl 2.85
Cu3 0.5000 0.0000 0.0000  4 Pt 2.85, 4 Tl 2.85
Cu4 0.5000 0.5000 0.5000  4 Pt 2.85, 4 Tl 2.85
Pt1 0.2500 0.2500 0.7500  4 Sc 2.85, 4 Cu 2.85
Pt2 0.2500 0.7500 0.2500  4 Sc 2.85, 4 Cu 2.85
Pt3 0.7500 0.2500 0.2500  4 Sc 2.85, 4 Cu 2.85
Pt4 0.7500 0.7500 0.7500  4 Sc 2.85, 4 Cu 2.85

***

Entry 5:
The following is a PBE calculation of ZrTlGe2 after structural relaxation, from OQMD.

Calculated values
Size of the total moment (μB per atom): 0.00
Calculated total energy (eV/atom): -4.7546
Symmetry: F-43m

a = 7.0751 Å, b = 7.0751 Å, c = 7.0751 Å
α = 90.00°, β = 90.00°, γ = 90.00°
With the nearest neighbours (Å) after each atom.
Sites, in units of the cell vectors:
Zr1 0.0000 0.0000 0.0000  4 Tl 3.06, 4 Ge 3.06
Zr2 0.0000 0.5000 0.5000  4 Tl 3.06, 4 Ge 3.06
Zr3 0.5000 0.0000 0.5000  4 Tl 3.06, 4 Ge 3.06
Zr4 0.5000 0.5000 0.0000  4 Tl 3.06, 4 Ge 3.06
Tl1 0.2500 0.2500 0.7500  4 Ge 3.06, 4 Zr 3.06
Tl2 0.2500 0.7500 0.2500  4 Ge 3.06, 4 Zr 3.06
Tl3 0.7500 0.2500 0.2500  4 Ge 3.06, 4 Zr 3.06
Tl4 0.7500 0.7500 0.7500  4 Ge 3.06, 4 Zr 3.06
Ge1 0.0000 0.0000 0.5000  4 Ge 3.06, 4 Tl 3.06
Ge2 0.0000 0.5000 0.0000  4 Ge 3.06, 4 Tl 3.06
Ge3 0.2500 0.2500 0.2500  4 Zr 3.06, 4 Ge 3.06
Ge4 0.2500 0.7500 0.7500  4 Zr 3.06, 4 Ge 3.06
Ge5 0.5000 0.0000 0.0000  4 Ge 3.06, 4 Tl 3.06
Ge6 0.5000 0.5000 0.5000  4 Ge 3.06, 4 Tl 3.06
Ge7 0.7500 0.2500 0.7500  4 Zr 3.06, 4 Ge 3.06
Ge8 0.7500 0.7500 0.2500  4 Zr 3.06, 4 Ge 3.06

***

Entry 6:
The following is a PBE calculation of Sm3Ni after structural relaxation, from OQMD.

Calculated values
Size of the total moment (μB per atom): 0.01
Calculated total energy (eV/atom): -4.7516
Symmetry: I4/mmm

a = 4.4644 Å, b = 4.4644 Å, c = 10.4633 Å
α = 90.00°, β = 90.00°, γ = 90.00°
With the nearest neighbours (Å) after each atom.
Sites, in units of the cell vectors:
Sm1 0.0000 0.0000 0.0000  4 Ni 3.16, 8 Sm 3.44
Sm2 0.0000 0.5000 0.2500  8 Sm 3.16-3.44, 4 Ni 3.44
Sm3 0.0000 0.5000 0.7500  8 Sm 3.16-3.44, 4 Ni 3.44
Sm4 0.5000 0.0000 0.2500  8 Sm 3.16-3.44, 4 Ni 3.44
Sm5 0.5000 0.0000 0.7500  8 Sm 3.16-3.44, 4 Ni 3.44
Sm6 0.5000 0.5000 0.5000  4 Ni 3.16, 8 Sm 3.44
Ni1 0.0000 0.0000 0.5000  12 Sm 3.16-3.44
Ni2 0.5000 0.5000 0.0000  12 Sm 3.16-3.44

***

Entry 7:
The following is a PBE calculation of Li4MgGeAu2 after structural relaxation, from OQMD.

Calculated values
Calculated total energy (eV/atom): -3.0075
Symmetry: P-4m2

a = 4.4583 Å, b = 4.4583 Å, c = 6.3587 Å
α = 90.00°, β = 90.00°, γ = 90.00°
With the nearest neighbours (Å) after each atom.
Sites, in units of the cell vectors:
Li1 0.0000 0.0000 0.0000  4 Au 2.77, 4 Li 2.82
Li2 0.0000 0.5000 0.7294  2 Ge 2.66, 4 Li 2.66-2.82, 2 Mg 2.82
Li3 0.5000 0.0000 0.2706  2 Ge 2.66, 4 Li 2.66-2.82, 2 Mg 2.82
Li4 0.5000 0.5000 0.5000  4 Li 2.66, 4 Au 2.71
Mg1 0.5000 0.5000 0.0000  4 Au 2.77, 4 Li 2.82
Ge1 0.0000 0.0000 0.5000  4 Li 2.66, 4 Au 2.71
Au1 0.0000 0.5000 0.2582  2 Ge 2.71, 5 Li 2.71-3.00, 2 Mg 2.77
Au2 0.5000 0.0000 0.7418  2 Ge 2.71, 5 Li 2.71-3.00, 2 Mg 2.77

***

Entry 8:
The following is a PBE calculation of HoPuAs after structural relaxation, from OQMD.

Calculated values
Size of the total moment (μB per atom): 2.24
Energy above the lowest structure with this stoichiometry (eV per atom): 0.000
Calculated total energy (eV/atom): -8.3867
Symmetry: F-43m

a = 6.8553 Å, b = 6.8553 Å, c = 6.8553 Å
α = 90.00°, β = 90.00°, γ = 90.00°
With the nearest neighbours (Å) after each atom.
Sites, in units of the cell vectors:
Ho1 0.0000 0.0000 0.0000  4 As 2.97
Ho2 0.0000 0.5000 0.5000  4 As 2.97
Ho3 0.5000 0.0000 0.5000  4 As 2.97
Ho4 0.5000 0.5000 0.0000  4 As 2.97
Pu1 0.0000 0.0000 0.5000  4 As 2.97
Pu2 0.0000 0.5000 0.0000  4 As 2.97
Pu3 0.5000 0.0000 0.0000  4 As 2.97
Pu4 0.5000 0.5000 0.5000  4 As 2.97
As1 0.2500 0.2500 0.2500  4 Ho 2.97, 4 Pu 2.97
As2 0.2500 0.7500 0.7500  4 Ho 2.97, 4 Pu 2.97
As3 0.7500 0.2500 0.7500  4 Ho 2.97, 4 Pu 2.97
As4 0.7500 0.7500 0.2500  4 Ho 2.97, 4 Pu 2.97

***

Entry 9:
The following is a PBE calculation of Pa2I13 after structural relaxation, from OQMD.

Calculated values
Size of the total moment (μB per atom): 0.00
Calculated total energy (eV/atom): -3.2953
Symmetry: P-1

a = 8.7006 Å, b = 10.9800 Å, c = 11.0940 Å
α = 64.45°, β = 87.64°, γ = 78.35°
With the nearest neighbours (Å) after each atom.
Sites, in units of the cell vectors:
Pa1 0.2264 0.2256 0.1716  6 I 2.90-3.09
Pa2 0.7736 0.7744 0.8284  6 I 2.90-3.09
I1 0.0000 0.5000 0.0000  2 Pa 3.09
I2 0.0017 0.9306 0.8353  1 Pa 2.90
I3 0.0962 0.2454 0.4091  1 Pa 2.90
I4 0.3506 0.2282 0.9234  1 Pa 2.91
I5 0.4531 0.3946 0.1744  1 Pa 2.98
I6 0.4653 0.9777 0.3298  1 Pa 2.95
I7 0.4797 0.6390 0.4638  1 I 2.75
I8 0.5203 0.3610 0.5362  1 I 2.75
I9 0.5347 0.0223 0.6702  1 Pa 2.95
I10 0.5469 0.6054 0.8256  1 Pa 2.98
I11 0.6494 0.7718 0.0766  1 Pa 2.91
I12 0.9038 0.7546 0.5909  1 Pa 2.90
I13 0.9983 0.0694 0.1647  1 Pa 2.90

***

Entry 10:
The following is a PBE calculation of Sm2Y2CI2Br3 after structural relaxation, from OQMD.

Calculated values
Size of the total moment (μB per atom): 0.01
Energy above the lowest structure with this stoichiometry (eV per atom): 0.000
Calculated total energy (eV/atom): -5.2814
Symmetry: C2/m

a = 9.5788 Å, b = 9.5788 Å, c = 8.3224 Å
α = 101.81°, β = 101.81°, γ = 23.65°
With the nearest neighbours (Å) after each atom.
Sites, in units of the cell vectors:
Sm1 0.0010 0.0010 0.2963  2 C 2.60
Sm2 0.9990 0.9990 0.7037  2 C 2.60
Y1 0.3681 0.3681 0.4308  1 C 2.42
Y2 0.6319 0.6319 0.5692  1 C 2.42
C1 0.5000 0.5000 0.5000  2 Y 2.42, 4 Sm 2.60
I1 0.1730 0.1730 0.3164  2 Y 3.09, 1 Sm 3.20
I2 0.8270 0.8270 0.6836  2 Y 3.09, 1 Sm 3.20
Br1 0.1592 0.1592 0.8278  2 Y 2.88, 1 Sm 2.96
Br2 0.5000 0.5000 0.0000  4 Sm 3.15
Br3 0.8408 0.8408 0.1722  2 Y 2.88, 1 Sm 2.96

***

Entry 11:
The following is a PBE calculation of GdHoGa2Ni4 after structural relaxation, from OQMD.

Calculated values
Size of the total moment (μB per atom): 0.00
Calculated total energy (eV/atom): -5.2589
Symmetry: P-6m2

a = 4.1284 Å, b = 4.1284 Å, c = 8.9158 Å
α = 90.00°, β = 90.00°, γ = 120.00°
With the nearest neighbours (Å) after each atom.
Sites, in units of the cell vectors:
Gd1 0.0000 0.0000 0.0000  8 Ni 2.76-2.93
Ho1 0.3333 0.6667 0.5000  8 Ni 2.75-2.93
Ga1 0.6667 0.3333 0.2504  6 Ni 2.44
Ga2 0.6667 0.3333 0.7496  6 Ni 2.44
Ni1 0.0000 0.0000 0.3095  3 Ga 2.44, 3 Ni 2.60
Ni2 0.0000 0.0000 0.6905  3 Ga 2.44, 3 Ni 2.60
Ni3 0.3333 0.6667 0.1918  3 Ga 2.44, 3 Ni 2.60
Ni4 0.3333 0.6667 0.8082  3 Ga 2.44, 3 Ni 2.60

***

Entry 12:
The following is a PBE calculation of SmTmInTe3 after structural relaxation, from OQMD.

Calculated values
Size of the total moment (μB per atom): 0.01
Calculated total energy (eV/atom): -4.4829
Symmetry: Cmcm

a = 7.8761 Å, b = 7.8761 Å, c = 12.1350 Å
α = 90.00°, β = 90.00°, γ = 147.50°
With the nearest neighbours (Å) after each atom.
Sites, in units of the cell vectors:
Sm1 0.0000 0.0000 0.0000  6 Te 3.16-3.19
Sm2 0.0000 0.0000 0.5000  6 Te 3.16-3.19
Tm1 0.4302 0.5698 0.7500  4 Te 2.91-3.00
Tm2 0.5698 0.4302 0.2500  4 Te 2.91-3.00
In1 0.2489 0.7511 0.2500  2 Tm 3.49, 8 Te 3.58-3.78
In2 0.7511 0.2489 0.7500  2 Tm 3.49, 8 Te 3.58-3.78
Te1 0.0647 0.9353 0.7500  2 Tm 3.00, 2 Sm 3.19
Te2 0.3519 0.6481 0.5308  1 Tm 2.91, 2 Sm 3.16
Te3 0.3519 0.6481 0.9692  1 Tm 2.91, 2 Sm 3.16
Te4 0.6481 0.3519 0.0308  1 Tm 2.91, 2 Sm 3.16
Te5 0.6481 0.3519 0.4692  1 Tm 2.91, 2 Sm 3.16
Te6 0.9353 0.0647 0.2500  2 Tm 3.00, 2 Sm 3.19

***

Copy entry 11 word for word.
The following is a PBE calculation of GdHoGa2Ni4 after structural relaxation, from OQMD.

Calculated values
Size of the total moment (μB per atom): 0.00
Calculated total energy (eV/atom): -5.2589
Symmetry: P-6m2

a = 4.1284 Å, b = 4.1284 Å, c = 8.9158 Å
α = 90.00°, β = 90.00°, γ = 120.00°
With the nearest neighbours (Å) after each atom.
Sites, in units of the cell vectors:
Gd1 0.0000 0.0000 0.0000  8 Ni 2.76-2.93
Ho1 0.3333 0.6667 0.5000  8 Ni 2.75-2.93
Ga1 0.6667 0.3333 0.2504  6 Ni 2.44
Ga2 0.6667 0.3333 0.7496  6 Ni 2.44
Ni1 0.0000 0.0000 0.3095  3 Ga 2.44, 3 Ni 2.60
Ni2 0.0000 0.0000 0.6905  3 Ga 2.44, 3 Ni 2.60
Ni3 0.3333 0.6667 0.1918  3 Ga 2.44, 3 Ni 2.60
Ni4 0.3333 0.6667 0.8082  3 Ga 2.44, 3 Ni 2.60